a) VASP calculation (PBE) on a relaxed structure of HfRu3Au.

Symmetry   Pm-3m (221)
Volume   21.82 Å³ per atom
DOS at the Fermi energy   8.90 states/eV/cell
M_tot   3.92 μB per formula unit

Structure (POSCAR):
```
HfRu3Au
1.0
-1.8424 -4.2398 1.2097
3.2935 -2.1951 -2.6773
2.9312 -0.1985 3.7686
Ru Hf Au
3 1 1
direct
0.0000 0.5000 0.0000
0.5000 0.0000 0.0000
0.0000 0.0000 0.5000
0.5000 0.5000 0.5000
0.0000 0.0000 0.0000
```

***

b) VASP calculation (PBE) on a relaxed structure of HfRu3Au.

Symmetry   Pm-3m (221)
Volume   21.34 Å³ per atom
DOS at the Fermi energy   3.64 states/eV/cell
M_tot   3.73 μB per formula unit

Structure (POSCAR):
```
HfRu3Au
1.0
4.7434 0.0000 0.0000
0.0000 4.7434 0.0000
0.0000 0.0000 4.7434
Ru Au Hf
3 1 1
direct
0.0000 0.5000 0.0000
0.0000 0.0000 0.5000
0.5000 0.0000 0.0000
0.5000 0.5000 0.5000
0.0000 0.0000 0.0000
```

***

Of them, a) has the lowest stability.

***

a) VASP calculation (PBE) on a relaxed structure of HfAuS.

Symmetry   Cm (8)
Volume   19.59 Å³ per atom
DOS at the Fermi energy   5.16 states/eV/cell
M_tot   0.00 μB per formula unit

Structure (POSCAR):
```
HfAuS
1.0
5.7066 0.0000 0.0098
0.0000 3.3807 0.0000
-4.4591 0.0000 12.1775
Au Hf S
4 4 4
direct
0.3846 0.0000 0.2840
0.3846 0.5000 0.7840
0.0798 0.0000 0.6052
0.0798 0.5000 0.1052
0.7924 0.5000 0.7116
0.7924 0.0000 0.2116
0.6795 0.0000 0.9550
0.6795 0.5000 0.4550
0.9999 0.5000 0.3595
0.5073 0.5000 0.0654
0.5073 0.0000 0.5654
0.9999 0.0000 0.8595
```

***

b) VASP calculation (PBE) on a relaxed structure of HfAuS.

Symmetry   P-3m1 (164)
Volume   21.50 Å³ per atom
DOS at the Fermi energy   8.03 states/eV/cell
M_tot   0.29 μB per formula unit

Structure (POSCAR):
```
HfAuS
1.0
-0.6767 0.9217 -3.3135
-2.1871 -2.1446 1.7041
-12.6145 19.1426 7.9011
S Au Hf
4 4 4
direct
0.6667 0.3333 0.5746
0.3333 0.6667 0.2954
0.3333 0.6667 0.4254
0.6667 0.3333 0.7046
0.6667 0.3333 0.0444
0.3333 0.6667 0.7966
0.3333 0.6667 0.9556
0.6667 0.3333 0.2034
0.6667 0.3333 0.3625
0.3333 0.6667 0.6375
0.6667 0.3333 0.8770
0.3333 0.6667 0.1230
```

***

c) VASP calculation (PBE) on a relaxed structure of HfAuS.

Symmetry   P3m1 (156)
Volume   21.11 Å³ per atom
DOS at the Fermi energy   1.78 states/eV/cell
M_tot   0.52 μB per formula unit

Structure (POSCAR):
```
HfAuS
1.0
3.4484 0.0000 0.0000
-1.7242 2.9864 0.0000
0.0000 0.0000 6.1489
S Hf Au
1 1 1
direct
0.6667 0.3333 0.6732
0.3333 0.6667 0.4179
0.6667 0.3333 0.0899
```

***

d) VASP calculation (PBE) on a relaxed structure of HfAuS.

Symmetry   C2/m (12)
Volume   20.79 Å³ per atom
DOS at the Fermi energy   5.63 states/eV/cell
M_tot   0.00 μB per formula unit

Structure (POSCAR):
```
HfAuS
1.0
6.6177 0.0000 -0.0029
0.0000 3.6103 0.0000
-5.2382 0.0000 10.4453
Hf Au S
4 4 4
direct
0.0000 0.0000 0.0000
0.5000 0.5000 0.0000
0.0000 0.5000 0.5000
0.5000 0.0000 0.5000
0.1872 0.5000 0.3269
0.1872 0.0000 0.8269
0.8128 0.5000 0.6731
0.8128 0.0000 0.1731
0.2830 0.0000 0.6291
0.2830 0.5000 0.1291
0.7170 0.5000 0.8709
0.7170 0.0000 0.3709
```

***

Of them, b) has the lowest stability.

***

a) VASP calculation (PBE) on a relaxed structure of HfAuS.

Symmetry   P4mm (99)
Volume   19.87 Å³ per atom
DOS at the Fermi energy   1.30 states/eV/cell
M_tot   0.00 μB per formula unit

Structure (POSCAR):
```
HfAuS
1.0
-1.1023 -1.9810 2.2426
2.6161 -1.7980 -0.3024
2.6706 3.1909 4.1314
Au S Hf
1 1 1
direct
0.0000 0.0000 0.9020
0.0000 0.0000 0.3479
0.5000 0.5000 0.5691
```

***

b) VASP calculation (PBE) on a relaxed structure of HfAuS.

Symmetry   Cm (8)
Volume   20.24 Å³ per atom
DOS at the Fermi energy   5.61 states/eV/cell
M_tot   0.00 μB per formula unit

Structure (POSCAR):
```
HfAuS
1.0
-4.5076 -1.8100 4.2903
2.2666 -1.8810 1.5878
6.3542 10.1928 3.0046
S Hf Au
4 4 4
direct
0.1551 0.5000 0.0912
0.1898 0.5000 0.8312
0.1551 0.0000 0.5912
0.1898 0.0000 0.3312
0.8694 0.5000 0.6276
0.0023 0.0000 0.9119
0.0023 0.5000 0.4119
0.8694 0.0000 0.1276
0.5968 0.5000 0.1969
0.5968 0.0000 0.6969
0.6301 0.0000 0.4094
0.6301 0.5000 0.9094
```

***

Of them, a) has the lowest stability.

***

a) VASP calculation (PBE) on a relaxed structure of HfAuS.

Symmetry   Pmmn (59)
Volume   19.85 Å³ per atom
DOS at the Fermi energy   3.19 states/eV/cell
M_tot   0.00 μB per formula unit

Structure (POSCAR):
```
HfAuS
1.0
-2.6487 2.0273 0.9346
-2.9792 -5.3389 3.1378
2.3855 1.1614 4.2410
S Hf Au
2 2 2
direct
0.0000 0.8512 0.5000
0.5000 0.1488 0.0000
0.0000 0.8711 0.0000
0.5000 0.1289 0.5000
0.0000 0.4497 0.5000
0.5000 0.5503 0.0000
```

***

b) VASP calculation (PBE) on a relaxed structure of HfAuS.

Symmetry   P4/nmm (129)
Volume   17.58 Å³ per atom
DOS at the Fermi energy   2.62 states/eV/cell
M_tot   0.00 μB per formula unit

Structure (POSCAR):
```
HfAuS
1.0
3.3900 0.0000 0.0000
0.0000 3.3900 0.0000
0.0000 0.0000 9.1805
S Au Hf
2 2 2
direct
0.0000 0.5000 0.0958
0.5000 0.0000 0.9042
0.5000 0.0000 0.5852
0.0000 0.5000 0.4148
0.5000 0.0000 0.2114
0.0000 0.5000 0.7886
```

***

Of them, a) has the lowest stability.

***

a) VASP calculation (PBE) on a relaxed structure of HfAuS.

Symmetry   R3m (160)
Volume   21.54 Å³ per atom
DOS at the Fermi energy   6.75 states/eV/cell
M_tot   0.00 μB per formula unit

Structure (POSCAR):
```
HfAuS
1.0
3.5379 0.0000 0.0000
-1.7689 3.0639 0.0000
0.0000 0.0000 17.8808
Au S Hf
3 3 3
direct
0.3333 0.6667 0.6986
0.6667 0.3333 0.3653
0.0000 0.0000 0.0320
0.6667 0.3333 0.2227
0.3333 0.6667 0.5560
0.0000 0.0000 0.8894
0.6667 0.3333 0.8056
0.3333 0.6667 0.1390
0.0000 0.0000 0.4723
```

***

b) VASP calculation (PBE) on a relaxed structure of HfAuS.

Symmetry   Cm (8)
Volume   19.99 Å³ per atom
DOS at the Fermi energy   5.90 states/eV/cell
M_tot   0.00 μB per formula unit

Structure (POSCAR):
```
HfAuS
1.0
-2.3224 8.1870 -1.7878
-1.2766 0.3227 3.1360
8.2125 -0.9546 3.4413
Au S Hf
4 4 4
direct
0.6616 0.5000 0.0760
0.5005 0.5000 0.7315
0.6616 0.0000 0.5760
0.5005 0.0000 0.2315
0.9227 0.5000 0.8943
0.1786 0.0000 0.7764
0.1786 0.5000 0.2764
0.9227 0.0000 0.3943
0.9414 0.0000 0.1112
0.9414 0.5000 0.6112
0.2448 0.5000 0.0205
0.2448 0.0000 0.5205
```

***

Of them, b) has the lowest stability.

***

a) VASP calculation (PBE) on a relaxed structure of HfSbAu3.

Symmetry   Pm-3m (221)
Volume   26.20 Å³ per atom
DOS at the Fermi energy   4.92 states/eV/cell
M_tot   0.75 μB per formula unit

Structure (POSCAR):
```
HfSbAu3
1.0
5.0786 0.0000 0.0000
0.0000 5.0786 0.0000
0.0000 0.0000 5.0786
Hf Au Sb
1 3 1
direct
0.5000 0.5000 0.5000
0.0000 0.0000 0.5000
0.0000 0.5000 0.0000
0.5000 0.0000 0.0000
0.0000 0.0000 0.0000
```

***

b) VASP calculation (PBE) on a relaxed structure of HfSbAu3.

Symmetry   Pm-3m (221)
Volume   27.78 Å³ per atom
DOS at the Fermi energy   4.92 states/eV/cell
M_tot   0.00 μB per formula unit

Structure (POSCAR):
```
HfSbAu3
1.0
-1.4973 2.9030 -4.0187
-3.8175 -3.3534 -1.0001
-3.1628 2.6733 3.1095
Au Sb Hf
3 1 1
direct
0.0000 0.0000 0.5000
0.5000 0.0000 0.0000
0.0000 0.5000 0.0000
0.5000 0.5000 0.5000
0.0000 0.0000 0.0000
```

***

Of them, a) has the lowest stability.

***

a) VASP calculation (PBE) on a relaxed structure of Hf2Sb2Au.

Symmetry   P4/mbm (127)
Volume   22.61 Å³ per atom
DOS at the Fermi energy   6.60 states/eV/cell
M_tot   0.00 μB per formula unit

Structure (POSCAR):
```
Hf2Sb2Au
1.0
-4.3999 -2.1341 -6.1004
-4.7249 -3.9730 4.7978
-2.0860 3.0213 0.4476
Sb Hf Au
4 4 2
direct
0.6540 0.1540 0.0000
0.1540 0.3460 0.0000
0.8460 0.6540 0.0000
0.3460 0.8460 0.0000
0.8577 0.3577 0.5000
0.1423 0.6423 0.5000
0.3577 0.1423 0.5000
0.6423 0.8577 0.5000
0.5000 0.5000 0.0000
0.0000 0.0000 0.0000
```

***

b) VASP calculation (PBE) on a relaxed structure of Hf2Sb2Au.

Symmetry   P4/mbm (127)
Volume   22.90 Å³ per atom
DOS at the Fermi energy   9.57 states/eV/cell
M_tot   0.00 μB per formula unit

Structure (POSCAR):
```
Hf2Sb2Au
1.0
-1.1104 -0.7674 -7.5601
-0.6146 -7.6063 0.8624
-3.8289 0.3689 0.5249
Sb Hf Au
4 4 2
direct
0.8462 0.3462 0.5000
0.3462 0.1538 0.5000
0.6538 0.8462 0.5000
0.1538 0.6538 0.5000
0.3541 0.8541 0.0000
0.8541 0.6459 0.0000
0.6459 0.1459 0.0000
0.1459 0.3541 0.0000
0.0000 0.0000 0.0000
0.5000 0.5000 0.0000
```

***

Of them, a) has the lowest stability.

***

a) VASP calculation (PBE) on a relaxed structure of HfSb2TeAu.

Symmetry   P4/mmm (123)
Volume   29.90 Å³ per atom
DOS at the Fermi energy   5.27 states/eV/cell
M_tot   0.00 μB per formula unit

Structure (POSCAR):
```
HfSb2TeAu
1.0
5.2682 0.0000 0.0000
0.0000 5.2682 0.0000
0.0000 0.0000 5.3859
Hf Sb Au Te
1 2 1 1
direct
0.5000 0.5000 0.5000
0.5000 0.0000 0.0000
0.0000 0.5000 0.0000
0.0000 0.0000 0.0000
0.0000 0.0000 0.5000
```

***

b) VASP calculation (PBE) on a relaxed structure of HfSb2TeAu.

Symmetry   P4/mmm (123)
Volume   32.92 Å³ per atom
DOS at the Fermi energy   4.83 states/eV/cell
M_tot   0.00 μB per formula unit

Structure (POSCAR):
```
HfSb2TeAu
1.0
5.5104 0.0000 0.0000
0.0000 5.5104 0.0000
0.0000 0.0000 5.4212
Te Sb Hf Au
1 2 1 1
direct
0.0000 0.0000 0.5000
0.0000 0.5000 0.0000
0.5000 0.0000 0.0000
0.0000 0.0000 0.0000
0.5000 0.5000 0.5000
```

***

Of them, a) has the lowest stability.

***

a) VASP calculation (PBE) on a relaxed structure of HfSc3Au.

Symmetry   Pm-3m (221)
Volume   26.97 Å³ per atom
DOS at the Fermi energy   8.61 states/eV/cell
M_tot   1.62 μB per formula unit

Structure (POSCAR):
```
HfSc3Au
1.0
5.1277 0.0000 0.0000
0.0000 5.1277 0.0000
0.0000 0.0000 5.1277
Sc Au Hf
3 1 1
direct
0.0000 0.0000 0.5000
0.0000 0.5000 0.0000
0.5000 0.0000 0.0000
0.0000 0.0000 0.0000
0.5000 0.5000 0.5000
```

***

b) VASP calculation (PBE) on a relaxed structure of HfSc3Au.

Symmetry   Pm-3m (221)
Volume   26.82 Å³ per atom
DOS at the Fermi energy   4.09 states/eV/cell
M_tot   0.00 μB per formula unit

Structure (POSCAR):
```
HfSc3Au
1.0
-2.5219 -4.4535 -0.0814
3.3843 -1.9766 3.2923
-2.8959 1.5682 3.9184
Sc Hf Au
3 1 1
direct
0.5000 0.0000 0.0000
0.0000 0.0000 0.5000
0.0000 0.5000 0.0000
0.0000 0.0000 0.0000
0.5000 0.5000 0.5000
```

***

Of them, b) has the lowest stability.

***

a) VASP calculation (PBE) on a relaxed structure of HfAuSe3.

Symmetry   Pm-3m (221)
Volume   24.74 Å³ per atom
DOS at the Fermi energy   2.55 states/eV/cell
M_tot   0.00 μB per formula unit

Structure (POSCAR):
```
HfAuSe3
1.0
4.9824 0.0000 0.0000
0.0000 4.9824 0.0000
0.0000 0.0000 4.9824
Se Au Hf
3 1 1
direct
0.0000 0.0000 0.5000
0.5000 0.0000 0.0000
0.0000 0.5000 0.0000
0.0000 0.0000 0.0000
0.5000 0.5000 0.5000
```

***

b) VASP calculation (PBE) on a relaxed structure of HfAuSe3.

Symmetry   Pm-3m (221)
Volume   27.42 Å³ per atom
DOS at the Fermi energy   2.63 states/eV/cell
M_tot   0.00 μB per formula unit

Structure (POSCAR):
```
HfAuSe3
1.0
-1.0748 -1.8563 4.6893
3.5094 -3.7187 -0.6677
3.6221 3.0522 2.0384
Hf Se Au
1 3 1
direct
0.0000 0.0000 0.0000
0.0000 0.0000 0.5000
0.0000 0.5000 0.0000
0.5000 0.0000 0.0000
0.5000 0.5000 0.5000
```

***

Of them, a) has the lowest stability.

***

a) VASP calculation (PBE) on a relaxed structure of HfAu3Se.

Symmetry   Pm-3m (221)
Volume   28.23 Å³ per atom
DOS at the Fermi energy   7.19 states/eV/cell
M_tot   0.00 μB per formula unit

Structure (POSCAR):
```
HfAu3Se
1.0
5.2066 0.0000 0.0000
0.0000 5.2066 0.0000
0.0000 0.0000 5.2066
Au Se Hf
3 1 1
direct
0.0000 0.5000 0.0000
0.0000 0.0000 0.5000
0.5000 0.0000 0.0000
0.5000 0.5000 0.5000
0.0000 0.0000 0.0000
```

***

b) VASP calculation (PBE) on a relaxed structure of HfAu3Se.

Symmetry   Pm-3m (221)
Volume   23.54 Å³ per atom
DOS at the Fermi energy   5.64 states/eV/cell
M_tot   0.28 μB per formula unit

Structure (POSCAR):
```
HfAu3Se
1.0
-3.3606 -3.0399 -1.8670
3.5654 -2.7746 -1.9000
0.1216 -2.6610 4.1139
Au Se Hf
3 1 1
direct
0.5000 0.0000 0.0000
0.0000 0.0000 0.5000
0.0000 0.5000 0.0000
0.0000 0.0000 0.0000
0.5000 0.5000 0.5000
```

***

Of them, a) has the lowest stability.

***

a) VASP calculation (PBE) on a relaxed structure of HfSi2Au2.

Symmetry   I4/mmm (139)
Volume   18.08 Å³ per atom
DOS at the Fermi energy   0.89 states/eV/cell
M_tot   0.00 μB per formula unit

Structure (POSCAR):
```
HfSi2Au2
1.0
3.9314 0.0000 0.0000
0.0000 3.9314 0.0000
1.9657 1.9657 5.8492
Au Hf Si
2 1 2
direct
0.3867 0.3867 0.2265
0.6133 0.6133 0.7735
0.0000 0.0000 0.0000
0.7500 0.2500 0.5000
0.2500 0.7500 0.5000
```

***

b) VASP calculation (PBE) on a relaxed structure of HfSi2Au2.

Symmetry   P4/mbm (127)
Volume   17.33 Å³ per atom
DOS at the Fermi energy   3.19 states/eV/cell
M_tot   0.00 μB per formula unit

Structure (POSCAR):
```
HfSi2Au2
1.0
7.2948 0.0000 0.0000
0.0000 7.2948 0.0000
0.0000 0.0000 3.2569
Hf Si Au
2 4 4
direct
0.5000 0.5000 0.0000
0.0000 0.0000 0.0000
0.1489 0.3511 0.0000
0.8511 0.6489 0.0000
0.6489 0.1489 0.0000
0.3511 0.8511 0.0000
0.3486 0.1514 0.5000
0.8486 0.3486 0.5000
0.1514 0.6514 0.5000
0.6514 0.8486 0.5000
```

***

Of them, a) has the lowest stability.